*w*
## PmDy2C (PBE)

Data for a relaxed PmDy2C crystal.

a = 3.5359 Å, b = 3.5359 Å, c = 29.4623 Å
α = 90.00°, β = 90.00°, γ = 120.00°
Space group R-3m (No. 166, hexagonal axes)
Inequivalent atoms, fractional coordinates:
Pm: 0.0000 0.0000 0.0000 [3 per cell]
Dy: 0.0000 0.0000 0.1209 [6 per cell]
C: 0.0000 0.0000 0.5000 [3 per cell]

Calculated values
Magnetization ... 0.00 μB per formula unit

=====

*x*
## PmDy2C (PBE)

Data for a relaxed PmDy2C crystal.

a = 3.5902 Å, b = 3.5902 Å, c = 27.7235 Å
α = 90.00°, β = 90.00°, γ = 120.00°
Space group R3m (No. 160, hexagonal axes)
Inequivalent atoms, fractional coordinates:
Pm: 0.0000 0.0000 0.0000 [3 per cell]
Dy: 0.0000 0.0000 0.2172 [3 per cell]
Dy: 0.0000 0.0000 0.4529 [3 per cell]
C: 0.0000 0.0000 0.8352 [3 per cell]

Calculated values
Magnetization ... 0.19 μB per formula unit

=====

Result of the stability comparison: *x* is the most stable of them.

=====

*w*
## PrDy2C (PBE)

Data for a relaxed PrDy2C crystal.

a = 3.5983 Å, b = 3.5983 Å, c = 28.0149 Å
α = 90.00°, β = 90.00°, γ = 120.00°
Space group R3m (No. 160, hexagonal axes)
Inequivalent atoms, fractional coordinates:
Pr: 0.0000 0.0000 0.0000 [3 per cell]
Dy: 0.0000 0.0000 0.2167 [3 per cell]
Dy: 0.0000 0.0000 0.4534 [3 per cell]
C: 0.0000 0.0000 0.8353 [3 per cell]

Calculated values
Magnetization ... 0.22 μB per formula unit

=====

*x*
## PrDy2C (PBE)

Data for a relaxed PrDy2C crystal.

a = 3.5429 Å, b = 3.5429 Å, c = 29.7147 Å
α = 90.00°, β = 90.00°, γ = 120.00°
Space group R-3m (No. 166, hexagonal axes)
Inequivalent atoms, fractional coordinates:
Pr: 0.0000 0.0000 0.0000 [3 per cell]
Dy: 0.0000 0.0000 0.1213 [6 per cell]
C: 0.0000 0.0000 0.5000 [3 per cell]

Calculated values
Magnetization ... 0.46 μB per formula unit

=====

Result of the stability comparison: *w* is the most stable of them.

=====

*w*
## Dy3PtC (PBE)

Data for a relaxed Dy3PtC crystal.

a = 8.6099 Å, b = 3.6709 Å, c = 13.7248 Å
α = 90.00°, β = 90.00°, γ = 90.00°
Space group Pnma (No. 62)
Inequivalent atoms, fractional coordinates:
Dy: 0.0015 0.2500 0.1061 [4 per cell]
Dy: 0.1754 0.2500 0.5335 [4 per cell]
Dy: 0.1872 0.7500 0.3047 [4 per cell]
Pt: 0.0989 0.7500 0.6882 [4 per cell]
C: 0.1616 0.2500 0.9520 [4 per cell]

Calculated values
Magnetization ... 0.00 μB per formula unit

=====

*x*
## Dy3PtC (PBE)

Data for a relaxed Dy3PtC crystal.

a = 4.7984 Å, b = 4.7984 Å, c = 4.7984 Å
α = 90.00°, β = 90.00°, γ = 90.00°
Space group Pm-3m (No. 221)
Inequivalent atoms, fractional coordinates:
Dy: 0.0000 0.0000 0.5000 [3 per cell]
Pt: 0.5000 0.5000 0.5000 [1 per cell]
C: 0.0000 0.0000 0.0000 [1 per cell]

Calculated values
Magnetization ... 0.00 μB per formula unit

=====

Result of the stability comparison: *w* is the most stable of them.

=====

*w*
## Dy2ReC2 (PBE)

Data for a relaxed Dy2ReC2 crystal.

a = 11.1565 Å, b = 5.1258 Å, c = 6.6475 Å
α = 90.00°, β = 118.58°, γ = 90.00°
Space group C2/m (No. 12)
Inequivalent atoms, fractional coordinates:
Dy: 0.0311 0.0000 0.2768 [4 per cell]
Dy: 0.1787 0.5000 0.1253 [4 per cell]
Re: 0.1384 0.5000 0.6295 [4 per cell]
C: 0.0068 0.5000 0.2754 [4 per cell]
C: 0.1799 0.0000 0.1096 [4 per cell]

Calculated values
Magnetization ... 0.00 μB per formula unit

=====

*x*
## Dy2ReC2 (PBE)

Data for a relaxed Dy2ReC2 crystal.

a = 6.5807 Å, b = 5.1266 Å, c = 9.8615 Å
α = 90.00°, β = 90.00°, γ = 90.00°
Space group Pnma (No. 62)
Inequivalent atoms, fractional coordinates:
Dy: 0.0316 0.2500 0.2159 [4 per cell]
Dy: 0.1802 0.2500 0.5552 [4 per cell]
Re: 0.2211 0.2500 0.8656 [4 per cell]
C: 0.0455 0.7500 0.2409 [4 per cell]
C: 0.1776 0.7500 0.5493 [4 per cell]

Calculated values
Magnetization ... 0.00 μB per formula unit

=====

Result of the stability comparison: *x* is the most stable of them.

=====

*w*
## DyRhC (PBE)

Data for a relaxed DyRhC crystal.

a = 3.3404 Å, b = 3.3404 Å, c = 4.8894 Å
α = 90.00°, β = 90.00°, γ = 120.00°
Space group P3m1 (No. 156)
Inequivalent atoms, fractional coordinates:
Dy: 0.0000 0.0000 0.0000 [1 per cell]
Rh: 0.6667 0.3333 0.4711 [1 per cell]
C: 0.3333 0.6667 0.3114 [1 per cell]

Calculated values
Magnetization ... 0.00 μB per formula unit

=====

*x*
## DyRhC (PBE)

Data for a relaxed DyRhC crystal.

a = 4.5791 Å, b = 4.5791 Å, c = 9.0589 Å
α = 90.00°, β = 90.00°, γ = 90.00°
Space group I4_1md (No. 109)
Inequivalent atoms, fractional coordinates:
Dy: 0.0000 0.0000 0.0000 [4 per cell]
Rh: 0.0000 0.0000 0.4872 [4 per cell]
C: 0.0000 0.0000 0.2713 [4 per cell]

Calculated values
Magnetization ... 0.00 μB per formula unit

=====

Result of the stability comparison: *w* is the most stable of them.

=====

*w*
## DyRu2C (PBE)

Data for a relaxed DyRu2C crystal.

a = 3.2479 Å, b = 3.2479 Å, c = 20.3948 Å
α = 90.00°, β = 90.00°, γ = 120.00°
Space group R-3m (No. 166, hexagonal axes)
Inequivalent atoms, fractional coordinates:
Dy: 0.0000 0.0000 0.0000 [3 per cell]
Ru: 0.0000 0.0000 0.2157 [6 per cell]
C: 0.0000 0.0000 0.5000 [3 per cell]

Calculated values
Magnetization ... 0.00 μB per formula unit

=====

*x*
## DyRu2C (PBE)

Data for a relaxed DyRu2C crystal.

a = 4.8438 Å, b = 7.9755 Å, c = 3.1730 Å
α = 90.00°, β = 90.00°, γ = 90.00°
Space group Cmmm (No. 65)
Inequivalent atoms, fractional coordinates:
Dy: 0.0000 0.0000 0.0000 [2 per cell]
Ru: 0.0000 0.3367 0.5000 [4 per cell]
C: 0.0000 0.5000 0.0000 [2 per cell]

Calculated values
Magnetization ... 0.00 μB per formula unit

=====

Result of the stability comparison: *x* is the most stable of them.